The following is a GGA+U calculation of crystalline IrWF3 at its relaxed geometry, from Alexandria via LeMat-Bulk. Values from VASP.

```
&SYSTEM
  ibrav = 0, nat = 5, ntyp = 3
/
ATOMIC_SPECIES
Ir 192.22 Ir.upf
W 183.84 W.upf
F 19.00 F.upf
CELL_PARAMETERS angstrom
4.279 0.000 0.000
0.000 4.279 0.000
0.000 0.000 4.279
ATOMIC_POSITIONS crystal
Ir 0.000 0.000 0.000
W 0.500 0.500 0.500
F 0.000 0.000 0.500
F 0.000 0.500 0.000
F 0.500 0.000 0.000
```

Energy above the lowest structure with this stoichiometry in meV/atom: 0.0
Size of the total moment in μB/f.u.: 4.56


The following is a GGA+U calculation of crystalline Ir4W2F at its relaxed geometry, from Alexandria via LeMat-Bulk. Values from VASP.

```
&SYSTEM
  ibrav = 0, nat = 7, ntyp = 3
/
ATOMIC_SPECIES
Ir 192.22 Ir.upf
W 183.84 W.upf
F 19.00 F.upf
CELL_PARAMETERS angstrom
-2.081 2.081 6.682
2.081 -2.081 6.682
2.081 2.081 -6.682
ATOMIC_POSITIONS crystal
Ir 0.000 0.500 0.500
Ir 0.180 0.180 0.000
Ir 0.500 0.000 0.500
Ir 0.820 0.820 0.000
W 0.357 0.357 0.000
W 0.643 0.643 0.000
F 0.000 0.000 0.000
```

Size of the total moment in μB/f.u.: 1.40


Number 1: volume 78.3 Å³ per cell, total DFT energy (no corrections) -4.261 eV/atom. Number 2: volume 115.8 Å³ per cell, total DFT energy (no corrections) -6.296 eV/atom.